[1]
Material: ZrFeCu2
Method: DFT, PBE
State: optimized geometry

Cell lengths 2.8049, 2.8049, 26.4086 Å; angles 90.00, 90.00, 120.00 degrees
With the nearest neighbours (Å) after each atom.
Space group R-3m (No. 166, hexagonal axes)
Inequivalent atoms, fractional coordinates:
Zr: 0.0000 0.0000 0.0000 (multiplicity 3)  6 Zr 2.80, 6 Cu 2.91
Fe: 0.0000 0.0000 0.5000 (multiplicity 3)  6 Cu 2.56, 6 Fe 2.80
Cu: 0.0000 0.0000 0.2416 (multiplicity 6)  3 Fe 2.56, 6 Cu 2.80

Summary:
Volume   15.0 Å³ per atom
ΔE_f   0.293 eV per atom
E   -6.008 eV per atom


[2]
Material: Zr4FeCu2
Method: DFT, PBE
State: optimized geometry

Cell lengths 4.7614, 4.7614, 12.9660 Å; angles 90.00, 90.00, 90.00 degrees
With the nearest neighbours (Å) after each atom.
Space group I4/mmm (No. 139)
Inequivalent atoms, fractional coordinates:
Zr: 0.0000 0.0000 0.1910 (multiplicity 4)  1 Fe 2.48, 1 Cu 2.60
Zr: 0.0000 0.5000 0.0000 (multiplicity 4)  2 Fe 2.38
Fe: 0.0000 0.0000 0.0000 (multiplicity 2)  6 Zr 2.38-2.48
Cu: 0.0000 0.0000 0.3912 (multiplicity 4)  5 Zr 2.60-2.77, 1 Cu 2.82

Summary:
Volume   21.0 Å³ per atom
ΔE_f   0.280 eV per atom
E   -6.984 eV per atom